Entry 1:
A crystal of ThPt3 relaxed with PBEsol. Source: Alexandria via LeMat-Bulk, functional SCAN.

Cell and atoms, written as POSCAR:
```
ThPt3
1.0
5.8512 0.0000 0.0000
-2.9256 5.0673 0.0000
0.0000 0.0000 4.9366
Th Pt
2 6
direct
0.3333 0.6667 0.2500
0.6667 0.3333 0.7500
0.1599 0.3198 0.7500
0.1599 0.8401 0.7500
0.3198 0.1599 0.2500
0.6802 0.8401 0.7500
0.8401 0.1599 0.2500
0.8401 0.6802 0.2500
```

Computed properties:
Space-group type: No. 194
Formation energy from the elements, eV per atom: -1.14
Spin magnetization, μB/atom: 0.00

---

Entry 2:
A crystal of Th3Pt5 relaxed with PBEsol. Source: Alexandria via LeMat-Bulk, functional SCAN.

Cell and atoms, written as POSCAR:
```
Th3Pt5
1.0
7.1357 0.0000 0.0000
-3.5679 6.1797 0.0000
0.0000 0.0000 3.8727
Th Pt
3 5
direct
0.0000 0.3600 0.0000
0.3600 0.0000 0.0000
0.6400 0.6400 0.0000
0.0000 0.7722 0.5000
0.2278 0.2278 0.5000
0.3333 0.6667 0.5000
0.6667 0.3333 0.5000
0.7722 0.0000 0.5000
```

Computed properties:
Space-group type: No. 189
Formation energy from the elements, eV per atom: -1.39
Spin magnetization, μB/atom: 0.00

---

Question: Number 2 is which compound?
Answer: Th3Pt5